(1)
Entry from Alexandria via LeMat-Bulk: a relaxed structure of Y2SbH3 (PBE-GGA).

The value obtained for the total magnetic moment is 0.00 μB/f.u. The space group is C2/m (12). The uncorrected energy comes out at -5.31 eV per atom. The calculation puts the calculated density at 5.40 g cm⁻³.

```
data_Y2SbH3
_chemical_formula_sum 'Y4 Sb2 H6'
_space_group_name_H-M_alt 'P 1'
_space_group_IT_number 1
_space_group_name_Hall 'P 1'
_cell_length_a 7.6051
_cell_length_b 7.6051
_cell_length_c 7.1530
_cell_angle_alpha 113.79
_cell_angle_beta 113.79
_cell_angle_gamma 29.67
loop_
_atom_site_label
_atom_site_type_symbol
_atom_site_fract_x
_atom_site_fract_y
_atom_site_fract_z
Y1 Y 0.0296 0.0296 0.2692
Y2 Y 0.2997 0.2997 0.3180
Y3 Y 0.7003 0.7003 0.6820
Y4 Y 0.9704 0.9704 0.7308
Sb1 Sb 0.3674 0.3674 0.9542
Sb2 Sb 0.6326 0.6326 0.0458
H1 H 0.0949 0.0949 0.6245
H2 H 0.1929 0.1929 0.4745
H3 H 0.4366 0.4366 0.5886
H4 H 0.5634 0.5634 0.4114
H5 H 0.8071 0.8071 0.5255
H6 H 0.9051 0.9051 0.3755
```

=====

(2)
Entry from Alexandria via LeMat-Bulk: a relaxed structure of Y2Sb2H (PBE-GGA).

The value obtained for the total magnetic moment is 0.00 μB/f.u. The space group is Cmc2_1 (36). The calculation puts the calculated density at 5.76 g cm⁻³. Its energy above the most stable polymorph in this dataset is 0 meV per atom.

```
data_Y2Sb2H
_chemical_formula_sum 'Y4 Sb4 H2'
_space_group_name_H-M_alt 'P 1'
_space_group_IT_number 1
_space_group_name_Hall 'P 1'
_cell_length_a 9.5040
_cell_length_b 9.5040
_cell_length_c 6.1425
_cell_angle_alpha 90.00
_cell_angle_beta 90.00
_cell_angle_gamma 153.95
loop_
_atom_site_label
_atom_site_type_symbol
_atom_site_fract_x
_atom_site_fract_y
_atom_site_fract_z
Y1 Y 0.0914 0.9086 0.5000
Y2 Y 0.3327 0.6673 0.4428
Y3 Y 0.6673 0.3327 0.9428
Y4 Y 0.9086 0.0914 0.0000
Sb1 Sb 0.2907 0.7093 0.9460
Sb2 Sb 0.4943 0.5057 0.7222
Sb3 Sb 0.5057 0.4943 0.2222
Sb4 Sb 0.7093 0.2907 0.4460
H1 H 0.1271 0.8729 0.8424
H2 H 0.8729 0.1271 0.3424
```

=====

(3)
Entry from Alexandria via LeMat-Bulk: a relaxed structure of Y2SbH (PBE-GGA).

The value obtained for the total magnetic moment is 0.00 μB/f.u. The space group is R-3m (166). The calculation puts the calculated density at 5.39 g cm⁻³. Its energy above the most stable polymorph in this dataset is 174 meV per atom.

```
data_Y2SbH
_chemical_formula_sum 'Y6 Sb3 H3'
_space_group_name_H-M_alt 'P 1'
_space_group_IT_number 1
_space_group_name_Hall 'P 1'
_cell_length_a 4.1138
_cell_length_b 4.1138
_cell_length_c 18.9626
_cell_angle_alpha 90.00
_cell_angle_beta 90.00
_cell_angle_gamma 120.00
loop_
_atom_site_label
_atom_site_type_symbol
_atom_site_fract_x
_atom_site_fract_y
_atom_site_fract_z
Y1 Y 0.0000 0.0000 0.2366
Y2 Y 0.0000 0.0000 0.7634
Y3 Y 0.3333 0.6667 0.4301
Y4 Y 0.3333 0.6667 0.9033
Y5 Y 0.6667 0.3333 0.0967
Y6 Y 0.6667 0.3333 0.5699
Sb1 Sb 0.0000 0.0000 0.0000
Sb2 Sb 0.3333 0.6667 0.6667
Sb3 Sb 0.6667 0.3333 0.3333
H1 H 0.0000 0.0000 0.5000
H2 H 0.3333 0.6667 0.1667
H3 H 0.6667 0.3333 0.8333
```